A geometry-optimized SmCrO3 structure. Source: Alexandria via LeMat-Bulk, functional PBEsol.

Structure (CIF):
```
data_SmCrO3
_chemical_formula_sum 'Sm4 Cr4 O12'
_symmetry_space_group_name_H-M 'P n m a'
_symmetry_Int_Tables_number 62
_cell_length_a 5.529
_cell_length_b 7.589
_cell_length_c 5.299
_cell_angle_alpha 90.00
_cell_angle_beta 90.00
_cell_angle_gamma 90.00
loop_
_symmetry_equiv_pos_as_xyz
'x,y,z'
'-x,-y,-z'
'-x+1/2,-y,z+1/2'
'x+1/2,y,-z+1/2'
'x+1/2,-y+1/2,-z+1/2'
'-x+1/2,y+1/2,z+1/2'
'-x,y+1/2,-z'
'x,-y+1/2,z'
loop_
_atom_site_label
_atom_site_type_symbol
_atom_site_fract_x
_atom_site_fract_y
_atom_site_fract_z
_atom_site_occupancy
Sm1 Sm 0.061 0.250 0.016 1
Cr1 Cr 0.000 0.000 0.500 1
O1 O 0.026 0.750 0.407 1
O2 O 0.203 0.548 0.800 1
```

Computed properties:
Its electronic total energy is -180.0 eV per cell. The value obtained for the volume is 11.12 Å³/atom. For the formation energy from raw total energies, the calculation gives -1343.3 kJ/mol of formula units.

A geometry-optimized ZrBeAs2 structure. Source: Alexandria via LeMat-Bulk, functional PBEsol.

Structure (CIF):
```
data_ZrBeAs2
_chemical_formula_sum 'Zr1 Be1 As2'
_symmetry_space_group_name_H-M 'P 4 m m'
_symmetry_Int_Tables_number 99
_cell_length_a 2.959
_cell_length_b 2.959
_cell_length_c 8.109
_cell_angle_alpha 90.00
_cell_angle_beta 90.00
_cell_angle_gamma 90.00
loop_
_symmetry_equiv_pos_as_xyz
'x,y,z'
'-y,x,z'
'-x,-y,z'
'y,-x,z'
'-x,y,z'
'y,x,z'
'x,-y,z'
'-y,-x,z'
loop_
_atom_site_label
_atom_site_type_symbol
_atom_site_fract_x
_atom_site_fract_y
_atom_site_fract_z
_atom_site_occupancy
Zr1 Zr 0.000 0.000 0.000 1
Be1 Be 0.500 0.500 0.780 1
As1 As 0.000 0.000 0.634 1
As2 As 0.500 0.500 0.258 1
```

Computed properties:
The value obtained for the density of states at the Fermi level is 0.681 states/eV/atom. Its electronic total energy is -23.7 eV per cell. For the formation energy, the calculation gives -0.09 eV/atom. The value obtained for the volume is 17.75 Å³/atom.

A geometry-optimized BaMoRh2 structure. Source: Alexandria via LeMat-Bulk, functional PBEsol.

Structure (CIF):
```
data_BaMoRh2
_chemical_formula_sum 'Ba4 Mo4 Rh8'
_symmetry_space_group_name_H-M 'F m -3 m'
_symmetry_Int_Tables_number 225
_symmetry_space_group_name_Hall '-F 4 2 3'
_cell_length_a 6.677
_cell_length_b 6.677
_cell_length_c 6.677
_cell_angle_alpha 90.00
_cell_angle_beta 90.00
_cell_angle_gamma 90.00
loop_
_atom_site_label
_atom_site_type_symbol
_atom_site_fract_x
_atom_site_fract_y
_atom_site_fract_z
_atom_site_occupancy
Ba1 Ba 0.000 0.000 0.000 1
Mo1 Mo 0.000 0.000 0.500 1
Rh1 Rh 0.250 0.250 0.250 1
```

Computed properties:
The value obtained for the density of states at the Fermi level is 1.226 states/eV/atom. Its electronic total energy is -108.0 eV per cell. For the formation energy, the calculation gives 0.80 eV/atom. The value obtained for the volume is 18.60 Å³/atom.

Question: What is the electronic total energy in the third record?
Answer: -108.0 eV per cell